Material: Pm2TeRu
Method: DFT, GGA-PBE
State: relaxed

a b c (Å): 3.645 3.645 7.641
angles (deg): 90.00 90.00 90.00
Fractional positions:
1 Pm 0.000 0.000 0.223
2 Pm 0.000 0.000 0.777
3 Te 0.500 0.500 0.500
4 Ru 0.500 0.500 0.000

Summary:
N(E_F), states/eV/cell: 1.308
Uncorrected energy, eV per cell: -24.57
Total magnetic moment, Bohr magnetons per cell: 0.0
Energy above the most stable polymorph in this dataset, meV per atom: 0
Formation energy from raw total energies, eV per atom: -0.663

---

Material: SrSb3
Method: DFT, GGA-PBE
State: relaxed

a b c (Å): 4.298 4.298 6.539
angles (deg): 90.00 90.00 90.55
Fractional positions:
1 Sr 0.000 0.000 0.000
2 Sb 0.000 0.000 0.500
3 Sb 0.500 0.500 0.267
4 Sb 0.500 0.500 0.733

Summary:
N(E_F), states/eV/cell: 3.077
Uncorrected energy, eV per cell: -15.17
Total magnetic moment, Bohr magnetons per cell: 0.0
Formation energy from raw total energies, eV per atom: -0.281

---

Material: ZrBe2NbPt
Method: DFT, GGA-PBE
State: relaxed

a b c (Å): 4.396 4.396 4.794
angles (deg): 90.00 90.00 90.00
Fractional positions:
1 Zr 0.000 0.000 0.000
2 Be 0.000 0.500 0.500
3 Be 0.500 0.000 0.500
4 Nb 0.500 0.500 0.500
5 Pt 0.500 0.500 0.000

Summary:
N(E_F), states/eV/cell: 5.127
Uncorrected energy, eV per cell: -28.33
Total magnetic moment, Bohr magnetons per cell: 0.0
Formation energy, eV/atom: 0.757

---

Material: ErCoNi2Ge4
Method: DFT, GGA-PBE
State: relaxed

a b c (Å): 8.803 8.803 8.803
angles (deg): 26.73 26.73 26.73
Fractional positions:
1 Er 0.000 0.000 0.000
2 Co 0.500 0.500 0.500
3 Ni 0.235 0.235 0.235
4 Ni 0.765 0.765 0.765
5 Ge 0.130 0.130 0.130
6 Ge 0.400 0.400 0.400
7 Ge 0.600 0.600 0.600
8 Ge 0.870 0.870 0.870

Summary:
N(E_F), states/eV/cell: 4.836
Uncorrected energy, eV per cell: -44.25
Total magnetic moment, Bohr magnetons per cell: 0.0
Formation energy, eV/atom: -0.318

---

Material: Pr4As2S
Method: DFT, GGA-PBE
State: relaxed

a b c (Å): 8.093 8.093 7.238
angles (deg): 116.29 116.29 29.94
Fractional positions:
1 Pr 0.125 0.125 0.450
2 Pr 0.375 0.375 0.031
3 Pr 0.625 0.625 0.969
4 Pr 0.875 0.875 0.550
5 As 0.259 0.259 0.260
6 As 0.741 0.741 0.740
7 S 0.000 0.000 0.000

Summary:
N(E_F), states/eV/cell: 6.696
Uncorrected energy, eV per cell: -41.96
Total magnetic moment, Bohr magnetons per cell: 0.0
Formation energy from raw total energies, eV per atom: -1.345

---

Material: Be2BrN
Method: DFT, GGA-PBE
State: relaxed

a b c (Å): 5.444 5.444 5.444
angles (deg): 128.06 128.06 76.53
Fractional positions:
1 Be 0.375 0.234 0.359
2 Be 0.766 0.125 0.141
3 Be 0.875 0.016 0.641
4 Be 0.984 0.625 0.859
5 Br 0.250 0.750 0.500
6 Br 0.500 0.500 0.000
7 N 0.000 0.000 0.000
8 N 0.750 0.250 0.500

Summary:
N(E_F), states/eV/cell: 0.000
Uncorrected energy, eV per cell: -41.25
Total magnetic moment, Bohr magnetons per cell: 0.0
Energy above the most stable polymorph in this dataset, meV per atom: 0
Formation energy from raw total energies, eV per atom: -0.794

---

Material: Zn2InAu
Method: DFT, GGA-PBE
State: relaxed

a b c (Å): 5.659 5.659 3.210
angles (deg): 103.54 103.54 121.62
Fractional positions:
1 Zn 0.000 0.500 0.000
2 Zn 0.500 0.000 0.000
3 In 0.000 0.000 0.000
4 Au 0.500 0.500 0.000

Summary:
N(E_F), states/eV/cell: 1.097
Uncorrected energy, eV per cell: -8.58
Total magnetic moment, Bohr magnetons per cell: 0.0
Formation energy, eV/atom: -0.003

---

Material: CsHf2Re
Method: DFT, GGA-PBE
State: relaxed

a b c (Å): 8.547 8.547 8.547
angles (deg): 131.07 131.07 71.70
Fractional positions:
1 Cs 0.375 0.625 0.750
2 Cs 0.625 0.375 0.250
3 Hf 0.000 0.000 0.000
4 Hf 0.000 0.000 0.500
5 Hf 0.000 0.500 0.000
6 Hf 0.500 0.000 0.500
7 Re 0.125 0.875 0.250
8 Re 0.875 0.125 0.750

Summary:
N(E_F), states/eV/cell: 6.448
Uncorrected energy, eV per cell: -55.77
Total magnetic moment, Bohr magnetons per cell: 0.0
Formation energy, eV/atom: 1.331
Energy above the most stable polymorph in this dataset, meV per atom: 96

---

Material: Zr3NiBr
Method: DFT, GGA-PBE
State: relaxed

a b c (Å): 4.945 4.945 4.945
angles (deg): 90.00 90.00 90.00
Fractional positions:
1 Zr 0.000 0.000 0.500
2 Zr 0.000 0.500 0.000
3 Zr 0.500 0.000 0.000
4 Ni 0.000 0.000 0.000
5 Br 0.500 0.500 0.500

Summary:
N(E_F), states/eV/cell: 11.137
Uncorrected energy, eV per cell: -31.60
Total magnetic moment, Bohr magnetons per cell: 0.0
Energy above the most stable polymorph in this dataset, meV per atom: 0
Formation energy from raw total energies, eV per atom: 0.299

---

Material: TbHo4Se5
Method: DFT, GGA-PBE
State: relaxed

a b c (Å): 7.033 7.033 7.033
angles (deg): 99.65 99.65 131.66
Fractional positions:
1 Tb 0.000 0.000 0.000
2 Ho 0.202 0.602 0.803
3 Ho 0.398 0.202 0.600
4 Ho 0.602 0.798 0.400
5 Ho 0.798 0.398 0.197
6 Se 0.100 0.303 0.403
7 Se 0.303 0.900 0.203
8 Se 0.500 0.500 0.000
9 Se 0.697 0.100 0.797
10 Se 0.900 0.697 0.597

Summary:
N(E_F), states/eV/cell: 4.714
Uncorrected energy, eV per cell: -57.67
Total magnetic moment, Bohr magnetons per cell: 0.0
Formation energy from raw total energies, eV per atom: -1.730

---

Material: Pa3Ge2
Method: DFT, GGA-PBE
State: relaxed

a b c (Å): 7.696 7.696 3.879
angles (deg): 90.00 90.00 90.00
Fractional positions:
1 Pa 0.000 0.000 0.000
2 Pa 0.180 0.320 0.500
3 Pa 0.320 0.820 0.500
4 Pa 0.500 0.500 0.000
5 Pa 0.680 0.180 0.500
6 Pa 0.820 0.680 0.500
7 Ge 0.121 0.621 0.000
8 Ge 0.379 0.121 0.000
9 Ge 0.621 0.879 0.000
10 Ge 0.879 0.379 0.000

Summary:
N(E_F), states/eV/cell: 19.467
Uncorrected energy, eV per cell: -79.70
Total magnetic moment, Bohr magnetons per cell: 0.0
Formation energy, eV/atom: -0.426
Energy above the most stable polymorph in this dataset, meV per atom: 0

---

Material: LaCuP2
Method: DFT, GGA-PBE
State: relaxed

a b c (Å): 4.777 4.777 4.777
angles (deg): 60.00 60.00 60.00
Fractional positions:
1 La 0.000 0.000 0.000
2 Cu 0.500 0.500 0.500
3 P 0.250 0.250 0.250
4 P 0.750 0.750 0.750

Summary:
N(E_F), states/eV/cell: 5.383
Uncorrected energy, eV per cell: -21.00
Total magnetic moment, Bohr magnetons per cell: 0.0
Formation energy, eV/atom: -0.290